[1]
Here is a geometry-optimized BaLaO2 structure from the Alexandria database. Energies are from PBE.

a = 7.6386 Å, b = 7.6386 Å, c = 7.6386 Å
α = 28.98°, β = 28.98°, γ = 28.98°
Fractional coordinates of all 4 atoms:
La 0.5000 0.5000 0.5000
Ba 0.0000 0.0000 0.0000
O 0.1159 0.1159 0.1159
O 0.8841 0.8841 0.8841

Total DFT energy (no corrections)   -6.78 eV/atom
Distance to the lowest polymorph of the same formula   0 meV/atom
ρ   5.53 g cm⁻³
Formation energy without anion corrections   -2.59 eV per atom
Total magnetization   0.4 μB/f.u.
Space group   No. 166


[2]
Here is a geometry-optimized Ho8Ga3Sb2 structure from the Alexandria database. Energies are from PBE.

a = 4.9243 Å, b = 9.9822 Å, c = 8.8998 Å
α = 124.11°, β = 90.01°, γ = 90.00°
Fractional coordinates of all 13 atoms:
Ho 0.0000 0.3866 0.7731
Ho 0.5001 0.8749 0.2367
Ho 0.0000 0.6134 0.2269
Ho 0.9999 0.8780 0.7560
Ho 0.0001 0.1220 0.2440
Ho 0.5001 0.3619 0.2367
Ho 0.4999 0.1251 0.7633
Ho 0.4999 0.6381 0.7633
Sb 0.5001 0.2598 0.5196
Sb 0.4999 0.7402 0.4804
Ga 0.0000 0.7439 0.0000
Ga 0.0000 0.2561 0.0000
Ga 0.5000 0.0000 0.0000

Total DFT energy (no corrections)   -4.65 eV/atom
ρ   8.12 g cm⁻³
Formation energy without anion corrections   -0.50 eV per atom
Total magnetization   0.0 μB/f.u.
Space group   No. 65


[3]
Here is a geometry-optimized VReS3 structure from the Alexandria database. Energies are from PBE.

a = 3.0810 Å, b = 7.6051 Å, c = 7.8772 Å
α = 105.53°, β = 101.28°, γ = 90.00°
Fractional coordinates of all 10 atoms:
S 0.0156 0.7984 0.0312
S 0.8445 0.4438 0.6891
S 0.3289 0.9015 0.6578
S 0.6711 0.0985 0.3422
S 0.9844 0.2016 0.9688
S 0.1555 0.5562 0.3109
V 0.8225 0.1189 0.6450
V 0.1775 0.8811 0.3550
Re 0.5958 0.3250 0.1917
Re 0.4042 0.6750 0.8083

Total DFT energy (no corrections)   -7.13 eV/atom
Distance to the lowest polymorph of the same formula   0 meV/atom
ρ   6.36 g cm⁻³
Formation energy without anion corrections   -0.34 eV per atom
Total magnetization   0.0 μB/f.u.
Space group   No. 12


[4]
Here is a geometry-optimized AcPmNdZn structure from the Alexandria database. Energies are from PBE.

a = 3.7546 Å, b = 3.7546 Å, c = 9.0331 Å
α = 90.00°, β = 90.00°, γ = 90.00°
Fractional coordinates of all 4 atoms:
Ac 0.0000 0.0000 0.0729
Zn 0.0000 0.0000 0.5687
Pm 0.5000 0.5000 0.3753
Nd 0.5000 0.5000 0.7678

Total DFT energy (no corrections)   -3.86 eV/atom
Distance to the lowest polymorph of the same formula   0 meV/atom
ΔE_f   -0.5 eV/f.u.
ρ   7.59 g cm⁻³
Total magnetization   0.0 μB/f.u.
Space group   No. 99


[5]
Here is a geometry-optimized ScTa2W structure from the Alexandria database. Energies are from PBE.

a = 3.2878 Å, b = 4.7015 Å, c = 4.7015 Å
α = 90.00°, β = 90.00°, γ = 90.00°
Fractional coordinates of all 4 atoms:
W 0.5000 0.5000 0.0000
Ta 0.0000 0.0000 0.0000
Ta 0.0000 0.5000 0.5000
Sc 0.5000 0.0000 0.5000

Total DFT energy (no corrections)   -10.56 eV/atom
ΔE_f   0.8 eV/f.u.
ρ   13.50 g cm⁻³
Total magnetization   0.0 μB/f.u.
Space group   No. 123


[6]
Here is a geometry-optimized Hf2Ti2H3 structure from the Alexandria database. Energies are from PBE.

a = 3.1994 Å, b = 5.1301 Å, c = 5.4462 Å
α = 105.02°, β = 107.08°, γ = 90.00°
Fractional coordinates of all 7 atoms:
H 0.0000 0.0000 0.0000
H 0.2446 0.7466 0.4892
H 0.7554 0.2534 0.5108
Ti 0.8693 0.6296 0.7386
Ti 0.1307 0.3704 0.2614
Hf 0.3822 0.1456 0.7643
Hf 0.6178 0.8544 0.2357

Total DFT energy (no corrections)   -6.77 eV/atom
ρ   9.20 g cm⁻³
Total magnetization   0.0 μB/f.u.
Space group   No. 12


[7]
Here is a geometry-optimized Pr4Nd3Ga4 structure from the Alexandria database. Energies are from PBE.

a = 3.6893 Å, b = 9.2466 Å, c = 10.5921 Å
α = 115.88°, β = 100.03°, γ = 90.00°
Fractional coordinates of all 11 atoms:
Nd 0.0939 0.0939 0.1878
Nd 0.0000 0.5000 0.0000
Nd 0.9061 0.9061 0.8122
Pr 0.6676 0.8459 0.3351
Pr 0.6676 0.4892 0.3351
Pr 0.3324 0.5108 0.6649
Pr 0.3324 0.1541 0.6649
Ga 0.5000 0.2236 0.0000
Ga 0.2754 0.7754 0.5508
Ga 0.7246 0.2246 0.4492
Ga 0.5000 0.7764 0.0000

Total DFT energy (no corrections)   -4.53 eV/atom
ΔE_f   -4.4 eV/f.u.
ρ   6.64 g cm⁻³
Total magnetization   0.0 μB/f.u.
Space group   No. 71


[8]
Here is a geometry-optimized AcPrRe2N5 structure from the Alexandria database. Energies are from PBE.

a = 3.9955 Å, b = 3.9955 Å, c = 7.6189 Å
α = 90.00°, β = 90.00°, γ = 90.00°
Fractional coordinates of all 9 atoms:
N 0.5000 0.0000 0.7776
N 0.5000 0.5000 0.5000
N 0.0000 0.5000 0.7776
N 0.0000 0.5000 0.2224
N 0.5000 0.0000 0.2224
Re 0.5000 0.5000 0.7596
Re 0.5000 0.5000 0.2404
Pr 0.0000 0.0000 0.0000
Ac 0.0000 0.0000 0.5000

Total DFT energy (no corrections)   -9.13 eV/atom
ρ   11.06 g cm⁻³
Formation energy without anion corrections   -0.75 eV per atom
Total magnetization   0.0 μB/f.u.
Space group   No. 123